Entry 1:
The following is a DFT calculation (PBE) of an optimized crystal structure of Cr2AgPPt.

Results
Uncorrected energy (eV/cell): -29.7
Formation energy from the elements (eV/atom): 0.77
Calculated volume (Å³/f.u.): 114

Cell lengths 5.1329, 5.1329, 4.3112 Å; angles 90.00, 90.00, 90.00 degrees
Atoms (fractional coordinates):
Cr  0.0000  0.5000  0.0000
Cr  0.5000  0.0000  0.0000
Ag  0.0000  0.0000  0.5000
P  0.5000  0.5000  0.5000
Pt  0.5000  0.5000  0.0000

Entry 2:
The following is a DFT calculation (PBE) of an optimized crystal structure of RbCrAgP.

Results
Uncorrected energy (eV/cell): -39.4
Formation energy from the elements (eV/atom): -0.22
Calculated volume (Å³/f.u.): 103

Cell lengths 3.9982, 3.9982, 12.8429 Å; angles 90.00, 90.00, 90.00 degrees
Atoms (fractional coordinates):
Rb  0.2500  0.2500  0.2426
Rb  0.7500  0.7500  0.7574
Cr  0.2500  0.7500  0.5000
Cr  0.7500  0.2500  0.5000
Ag  0.2500  0.7500  0.0000
Ag  0.7500  0.2500  0.0000
P  0.2500  0.2500  0.5932
P  0.7500  0.7500  0.4068

Entry 3:
The following is a DFT calculation (PBE) of an optimized crystal structure of CrAgP2S6.

Results
Uncorrected energy (eV/cell): -103.0
Uncorrected formation energy (eV/atom): -0.34
Calculated volume (Å³/f.u.): 227

Cell lengths 7.3665, 10.6647, 5.9682 Å; angles 90.00, 104.56, 90.00 degrees
Atoms (fractional coordinates):
Cr  0.0000  0.0824  0.2500
Cr  0.0000  0.9176  0.7500
Ag  0.0000  0.4388  0.2500
Ag  0.0000  0.5612  0.7500
P  0.1556  0.2444  0.7927
P  0.1556  0.7556  0.2927
P  0.8444  0.2444  0.7073
P  0.8444  0.7556  0.2073
S  0.2039  0.0742  0.9841
S  0.2039  0.9258  0.4841
S  0.2185  0.2313  0.4791
S  0.2185  0.7687  0.9791
S  0.2625  0.3932  0.9761
S  0.2625  0.6068  0.4761
S  0.7375  0.3932  0.5239
S  0.7375  0.6068  0.0239
S  0.7815  0.2313  0.0209
S  0.7815  0.7687  0.5209
S  0.7961  0.0742  0.5159
S  0.7961  0.9258  0.0159

Entry 4:
The following is a DFT calculation (PBE) of an optimized crystal structure of CrAgP2Se6.

Results
Uncorrected energy (eV/cell): -46.6
Uncorrected formation energy (eV/atom): -0.24
Calculated volume (Å³/f.u.): 260

Cell lengths 6.3856, 6.3856, 7.6240 Å; angles 97.63, 97.63, 119.99 degrees
Atoms (fractional coordinates):
Cr  0.0000  0.0000  0.0000
Ag  0.6659  0.3341  0.0000
P  0.2852  0.6188  0.8490
P  0.3812  0.7148  0.1510
Se  0.0921  0.3830  0.2312
Se  0.2171  0.2362  0.7686
Se  0.3639  0.0545  0.2318
Se  0.6170  0.9079  0.7688
Se  0.7638  0.7829  0.2314
Se  0.9455  0.6361  0.7682

Entry 5:
The following is a DFT calculation (PBE) of an optimized crystal structure of TaCrAgP2.

Results
Uncorrected energy (eV/cell): -31.7
Formation energy from the elements (eV/atom): 0.69
Calculated volume (Å³/f.u.): 91

Cell lengths 4.3258, 4.3258, 4.8414 Å; angles 90.00, 90.00, 90.00 degrees
Atoms (fractional coordinates):
Ta  0.0000  0.0000  0.0000
Cr  0.0000  0.0000  0.5000
Ag  0.5000  0.5000  0.0000
P  0.0000  0.5000  0.5000
P  0.5000  0.0000  0.5000

Entry 6:
The following is a DFT calculation (PBE) of an optimized crystal structure of PaCr2Ag2S6.

Results
Uncorrected energy (eV/cell): -67.8
Uncorrected formation energy (eV/atom): -0.78
Calculated volume (Å³/f.u.): 225

Cell lengths 6.3263, 6.3263, 6.5827 Å; angles 94.43, 94.43, 120.09 degrees
Atoms (fractional coordinates):
Pa  0.0000  0.0000  0.0000
Cr  0.3358  0.6642  0.0000
Cr  0.6642  0.3358  0.0000
Ag  0.1317  0.8683  0.5000
Ag  0.8683  0.1317  0.5000
S  0.0277  0.3940  0.2127
S  0.3269  0.3269  0.7858
S  0.3940  0.0277  0.2127
S  0.6060  0.9723  0.7873
S  0.6731  0.6731  0.2142
S  0.9723  0.6060  0.7873

Entry 7:
The following is a DFT calculation (PBE) of an optimized crystal structure of CrAg2Pb.

Results
Uncorrected energy (eV/cell): -17.7
Formation energy from the elements (eV/atom): 0.33
Calculated volume (Å³/f.u.): 80

Cell lengths 5.1690, 5.1690, 4.3844 Å; angles 115.02, 115.02, 50.67 degrees
Atoms (fractional coordinates):
Cr  0.0000  0.0000  0.0000
Ag  0.2491  0.2491  0.7489
Ag  0.4985  0.4985  0.4986
Pb  0.7491  0.7491  0.2492

Entry 8:
The following is a DFT calculation (PBE) of an optimized crystal structure of CrAg2Pb.

Results
Uncorrected energy (eV/cell): -34.1
Formation energy from the elements (eV/atom): 0.50
Calculated volume (Å³/f.u.): 85

Cell lengths 10.7975, 10.7975, 10.7975 Å; angles 158.49, 158.49, 30.60 degrees
Atoms (fractional coordinates):
Cr  0.0000  0.0000  0.0000
Cr  0.7500  0.2500  0.5000
Ag  0.1164  0.6250  0.9914
Ag  0.3750  0.3664  0.4914
Ag  0.6336  0.1250  0.0086
Ag  0.8750  0.8836  0.5086
Pb  0.2500  0.7500  0.5000
Pb  0.5000  0.5000  0.0000